1.
A plane-wave DFT calculation with PBE was carried out for a relaxed structure of K2TlPdF6.

Properties
Space group: C2/m (12)

Lattice parameters (Å, degrees): 6.2675 6.2675 6.4853 117.59 117.59 59.58
Sites, in units of the cell vectors:
K (0.2410, 0.2410, 0.2293)
K (0.7590, 0.7590, 0.7707)
Tl (0.0000, 0.0000, 0.5000)
Pd (0.5000, 0.5000, 0.0000)
F (0.2099, 0.6676, 0.1507)
F (0.2781, 0.2781, 0.6727)
F (0.3324, 0.7901, 0.8493)
F (0.6676, 0.2099, 0.1507)
F (0.7219, 0.7219, 0.3273)
F (0.7901, 0.3324, 0.8493)

=====

2.
A plane-wave DFT calculation with PBE was carried out for a relaxed structure of KTmPd2F8.

Properties
Space group: P-3 (147)

Lattice parameters (Å, degrees): 5.9223 5.9223 7.6156 90.00 90.00 120.00
Sites, in units of the cell vectors:
K (0.0000, 0.0000, 0.0000)
Tm (0.0000, 0.0000, 0.5000)
Pd (0.3333, 0.6667, 0.7611)
Pd (0.6667, 0.3333, 0.2389)
F (0.0189, 0.2896, 0.6762)
F (0.2707, 0.9811, 0.6762)
F (0.2896, 0.2707, 0.3238)
F (0.3333, 0.6667, 0.0235)
F (0.6667, 0.3333, 0.9765)
F (0.7104, 0.7293, 0.6762)
F (0.7293, 0.0189, 0.3238)
F (0.9811, 0.7104, 0.3238)

=====

no.,M_tot (μB/f.u.),formation energy from raw total energies (eV/f.u.)
1,1.0,-20.39
2,4.0,-25.74